This record from Alexandria describes an optimized crystal structure of MnAgIO2. The functional is PBE with a Hubbard U.

a b c (Å): 4.146 4.146 5.873
angles (deg): 90.00 90.00 90.00
Sites, in units of the cell vectors:
Mn 0.000 0.000 0.000
Ag 0.500 0.500 0.500
I 0.500 0.500 0.000
O 0.000 0.500 0.500
O 0.500 0.000 0.500

Properties
**Theoretical density**: 5.29 g cm⁻³
**Spin magnetization**: 5.87 μB per formula unit
**Offset from the most stable computed form**: 777 meV/atom